Record 1
4
Lattice="4.5929 0.0000 0.0000 2.2965 3.9776 0.0000 2.2965 1.3259 4.9325" Properties=species:S:1:pos:R:3 comment="In2GaPd (PBE, optimized geometry)" formation_energy_ev_per_atom=-0.199 rho_kg_m3=7478 final_energy_ev_per_atom=-3.6227 pbc="T T T"
In 2.2965 1.3259 0.8793
In 2.2965 1.3259 3.9686
Pd 6.8894 3.9776 4.9198
Ga 4.5929 2.6517 2.5634

Record 2
8
Lattice="3.2205 0.0000 0.0000 0.0000 3.2205 0.0000 0.0000 0.0000 13.2953" Properties=species:S:1:pos:R:3 comment="In3GaPd4 (PBE, optimized geometry)" formation_energy_ev_per_atom=-0.502 rho_kg_m3=10114 final_energy_ev_per_atom=-4.5037 pbc="T T T"
Pd 0.0000 0.0000 11.8394
Pd 0.0000 0.0000 8.3612
Pd 0.0000 0.0000 1.4559
Pd 0.0000 0.0000 4.9341
In 1.6103 1.6103 3.2132
In 1.6103 1.6103 6.6477
In 1.6103 1.6103 10.0822
Ga 1.6103 1.6103 0.0000